Material: Ac4Tl3Cu
Method: DFT, PBE
State: optimized geometry

Output
Energy relative to the lowest polymorph listed for this composition ... 0.038 eV/atom
Calculated formation energy ... -0.246 eV per atom
Crystal system ... orthorhombic

Cell: 4.7821 4.8603 11.9892 Å, 90.00 90.00 90.00°
With the nearest neighbours (Å) after each atom.
Atoms (fractional coordinates):
Ac 0.0000 0.0000 0.0000  1 Cu 3.25, 4 Tl 3.53
Ac 0.0000 0.5000 0.4614  2 Cu 3.34, 5 Tl 3.47-3.50
Ac 0.5000 0.0000 0.6963  7 Tl 3.47-3.64
Ac 0.5000 0.5000 0.2019  3 Tl 3.35-3.45, 4 Cu 3.51
Tl 0.0000 0.5000 0.7529  2 Tl 3.14, 5 Ac 3.48-3.50
Tl 0.5000 0.0000 0.4067  2 Cu 2.89
Tl 0.5000 0.5000 0.9227  2 Tl 3.14, 1 Ac 3.35
Cu 0.0000 0.0000 0.2707  2 Tl 2.89



Material: AcHgSe
Method: DFT, PBE
State: optimized geometry

Output
Energy relative to the lowest polymorph listed for this composition ... 0.194 eV/atom
Uncorrected formation energy ... -971 meV/atom
Crystal system ... tetragonal

Cell: 6.4059 6.4059 6.4059 Å, 142.31 142.31 54.36°
With the nearest neighbours (Å) after each atom.
Atoms (fractional coordinates):
Ac 0.0000 0.0000 0.0000  4 Se 3.12
Hg 0.6913 0.6913 0.0000  1 Se 3.27, 5 Ac 3.52-3.65
Se 0.4045 0.4045 0.0000  4 Ac 3.12, 1 Hg 3.27



Material: Li8ZnAu5
Method: DFT, PBE
State: optimized geometry

Output
Calculated formation energy ... -0.374 eV per atom
Crystal system ... tetragonal

Cell: 6.7142 6.7142 6.7142 Å, 110.93 110.93 106.60°
With the nearest neighbours (Å) after each atom.
Atoms (fractional coordinates):
Li 0.1844 0.4193 0.5772  5 Au 2.58-2.73, 1 Zn 2.61, 1 Li 2.84
Li 0.3333 0.2298 0.2381  5 Au 2.65-2.79, 3 Li 2.80-2.91
Li 0.3928 0.8156 0.2349  5 Au 2.58-2.73, 1 Zn 2.61, 1 Li 2.84
Li 0.5807 0.1579 0.7651  5 Au 2.58-2.73, 1 Zn 2.61, 1 Li 2.84
Li 0.7702 0.0083 0.1035  5 Au 2.65-2.79, 3 Li 2.80-2.91
Li 0.8421 0.6072 0.4228  5 Au 2.58-2.73, 1 Zn 2.61, 1 Li 2.84
Li 0.9048 0.6667 0.8965  5 Au 2.65-2.79, 3 Li 2.80-2.91
Li 0.9917 0.0952 0.7619  5 Au 2.65-2.79, 3 Li 2.80-2.91
Zn 0.5000 0.5000 0.0000  4 Li 2.61
Au 0.0380 0.4465 0.1576  8 Li 2.63-2.79
Au 0.1196 0.9620 0.4085  8 Li 2.63-2.79
Au 0.2889 0.8804 0.8424  8 Li 2.63-2.79
Au 0.5535 0.7111 0.5915  8 Li 2.63-2.79
Au 0.7500 0.2500 0.5000  8 Li 2.58-2.65



Number 1: E_tot -3.70 eV per atom, density of states at the Fermi level 1.03 states/eV/atom, total magnetic moment 0.0000 μB per atom. Number 2: E_tot -3.60 eV per atom, density of states at the Fermi level 1.08 states/eV/atom, total magnetic moment 0.0000 μB per atom. Number 3: E_tot -2.73 eV per atom, density of states at the Fermi level 0.23 states/eV/atom, total magnetic moment 0.0000 μB per atom.